First-principles (PBE) data for a geometry-optimized Li3NbS structure, as listed in Alexandria via LeMat-Bulk.

```
Li3NbS
1.0
-4.108 -2.235 -1.856
2.492 -1.059 -4.241
1.493 -4.382 1.971
Li Nb S
3 1 1
direct
0.000 0.500 0.000 Li
0.500 0.000 0.000 Li
0.000 0.000 0.500 Li
0.000 0.000 0.000 Nb
0.500 0.500 0.500 S
```

Computed properties:
Energy above the lowest structure with this stoichiometry, eV per atom: 0.9655
Theoretical density, g cm⁻³: 1.90
E_form (uncorrected), kcal/mol of atoms: 27.587
Crystal system: cubic
Fermi-level density of states, states/eV/cell: 4.01
Calculated volume, A^3/atom: 25.479

***

First-principles (PBE) data for a geometry-optimized LiNb4S8 structure, as listed in Alexandria via LeMat-Bulk.

```
LiNb4S8
1.0
6.586 0.006 -1.545
-3.819 5.390 -1.457
-0.041 -0.120 7.372
S Li Nb
8 1 4
direct
0.204 0.535 0.239 S
0.204 0.036 0.240 S
0.701 0.534 0.235 S
0.704 0.035 0.239 S
0.796 0.964 0.760 S
0.796 0.465 0.761 S
0.299 0.466 0.765 S
0.296 0.965 0.761 S
0.000 0.500 0.500 Li
0.250 0.753 0.003 Nb
0.750 0.247 0.997 Nb
0.246 0.246 0.000 Nb
0.754 0.754 0.000 Nb
```

Computed properties:
Energy above the lowest structure with this stoichiometry, eV per atom: 0.0000
Theoretical density, g cm⁻³: 4.06
E_form (uncorrected), kcal/mol of atoms: -24.635
Crystal system: monoclinic
Fermi-level density of states, states/eV/cell: 6.15
Calculated volume, A^3/atom: 19.976

***

First-principles (PBE) data for a geometry-optimized Li3NbS structure, as listed in Alexandria via LeMat-Bulk.

```
Li3NbS
1.0
4.603 0.000 0.000
0.000 4.603 0.000
0.000 0.000 4.603
S Li Nb
1 3 1
direct
0.000 0.000 0.000 S
0.000 0.500 0.000 Li
0.000 0.000 0.500 Li
0.500 0.000 0.000 Li
0.500 0.500 0.500 Nb
```

Computed properties:
Energy above the lowest structure with this stoichiometry, eV per atom: 0.0000
Theoretical density, g cm⁻³: 2.48
E_form (uncorrected), kcal/mol of atoms: 5.323
Crystal system: cubic
Fermi-level density of states, states/eV/cell: 3.35
Calculated volume, A^3/atom: 19.506

***

First-principles (PBE) data for a geometry-optimized LiNb3S structure, as listed in Alexandria via LeMat-Bulk.

```
LiNb3S
1.0
-3.031 -2.940 1.875
3.230 -1.431 2.977
-1.314 3.264 2.995
Nb Li S
3 1 1
direct
0.500 0.000 0.000 Nb
0.000 0.500 0.000 Nb
0.000 0.000 0.500 Nb
0.500 0.500 0.500 Li
0.000 0.000 0.000 S
```

Computed properties:
Energy above the lowest structure with this stoichiometry, eV per atom: 0.0000
Theoretical density, g cm⁻³: 5.35
E_form (uncorrected), kcal/mol of atoms: 6.580
Crystal system: cubic
Fermi-level density of states, states/eV/cell: 6.35
Calculated volume, A^3/atom: 19.725